[1]
Density functional theory data (PBE) for Ba2NaLi3As4 after structural relaxation.

- DFT formation energy: -738 meV/atom
- SG: P-4m2

Lattice parameters (Å, degrees): 4.488 4.488 11.756 90.00 90.00 90.00
Fractional coordinates of all 10 atoms:
Li  0.000  0.500  0.125
Li  0.000  0.000  0.500
Li  0.500  0.000  0.875
Na  0.500  0.500  0.500
Ba  0.000  0.500  0.761
Ba  0.500  0.000  0.239
As  0.500  0.500  0.000
As  0.000  0.500  0.346
As  0.000  0.000  0.000
As  0.500  0.000  0.654



[2]
Density functional theory data (PBE) for Pm3PuN after structural relaxation.

- SG: Pm-3m
- Raw total energy: -7.70 eV/atom

Lattice parameters (Å, degrees): 5.071 5.071 5.071 90.00 90.00 90.00
Fractional coordinates of all 5 atoms:
N  0.000  0.000  0.000
Pm  0.000  0.000  0.500
Pm  0.500  0.000  0.000
Pm  0.000  0.500  0.000
Pu  0.500  0.500  0.500



[3]
Density functional theory data (PBE) for Ca2ZrRu after structural relaxation.

- DFT formation energy: -88 meV/atom
- Relative energy among the computed polymorphs: 0 meV per atom
- SG: P4mm

Lattice parameters (Å, degrees): 3.433 3.433 9.132 90.00 90.00 90.00
Fractional coordinates of all 4 atoms:
Ca  0.500  0.500  0.319
Ca  0.000  0.000  0.968
Zr  0.500  0.500  0.674
Ru  0.000  0.000  0.540



[4]
Density functional theory data (PBE) for CsAgTeN2 after structural relaxation.

- Relative energy among the computed polymorphs: 686 meV per atom
- SG: P4/mmm

Lattice parameters (Å, degrees): 4.433 4.433 7.863 90.00 90.00 90.00
Fractional coordinates of all 5 atoms:
Ag  0.500  0.500  0.500
N  0.000  0.500  0.000
N  0.500  0.000  0.000
Te  0.000  0.000  0.500
Cs  0.000  0.000  0.000



[5]
Density functional theory data (PBE) for Sn3GeRh after structural relaxation.

- DFT formation energy: 174 meV/atom
- Relative energy among the computed polymorphs: 0 meV per atom
- SG: Pm-3m

Lattice parameters (Å, degrees): 5.126 5.126 5.126 90.00 90.00 90.00
Fractional coordinates of all 5 atoms:
Rh  0.000  0.000  0.000
Ge  0.500  0.500  0.500
Sn  0.500  0.000  0.000
Sn  0.000  0.500  0.000
Sn  0.000  0.000  0.500



[6]
Density functional theory data (PBE) for LaNpSi2 after structural relaxation.

- SG: R-3m
- Raw total energy: -7.31 eV/atom

Lattice parameters (Å, degrees): 4.640 4.640 5.895 66.82 66.82 60.00
Fractional coordinates of all 4 atoms:
La  0.500  0.500  0.500
Si  0.270  0.270  0.191
Si  0.730  0.730  0.809
Np  0.000  0.000  0.000



[7]
Density functional theory data (PBE) for Tc2GePbN after structural relaxation.

- SG: P4/mmm
- Raw total energy: -5.15 eV/atom

Lattice parameters (Å, degrees): 5.224 4.170 5.224 90.00 90.00 90.00
Fractional coordinates of all 5 atoms:
Ge  0.500  0.500  0.500
N  0.000  0.500  0.000
Tc  0.500  0.000  0.000
Tc  0.000  0.000  0.500
Pb  0.000  0.000  0.000



[8]
Density functional theory data (PBE) for Rb4CdF5 after structural relaxation.

- SG: I4
- Raw total energy: -3.76 eV/atom

Lattice parameters (Å, degrees): 5.746 6.910 6.910 80.05 65.43 65.43
Fractional coordinates of all 10 atoms:
F  0.104  0.621  0.194
F  0.298  0.806  0.621
F  0.411  0.000  0.000
F  0.919  0.379  0.806
F  0.725  0.194  0.379
Rb  0.807  0.804  0.604
Rb  0.215  0.196  0.396
Rb  0.411  0.396  0.804
Rb  0.611  0.604  0.196
Cd  0.010  0.000  0.000



[9]
Density functional theory data (PBE) for Ba2GaP2 after structural relaxation.

- DFT formation energy: -736 meV/atom
- Relative energy among the computed polymorphs: 16 meV per atom
- SG: P4/mbm

Lattice parameters (Å, degrees): 7.937 7.937 4.628 90.00 90.00 90.00
Fractional coordinates of all 10 atoms:
Ba  0.815  0.315  0.500
Ba  0.185  0.685  0.500
Ba  0.315  0.185  0.500
Ba  0.685  0.815  0.500
P  0.599  0.099  0.000
P  0.099  0.401  0.000
P  0.901  0.599  0.000
P  0.401  0.901  0.000
Ga  0.500  0.500  0.000
Ga  0.000  0.000  0.000



[10]
Density functional theory data (PBE) for Mg2CrRe after structural relaxation.

- DFT formation energy: 157 meV/atom
- Relative energy among the computed polymorphs: 0 meV per atom
- SG: P4mm

Lattice parameters (Å, degrees): 3.076 3.076 7.058 90.00 90.00 90.00
Fractional coordinates of all 4 atoms:
Mg  0.500  0.500  0.280
Mg  0.000  0.000  0.967
Re  0.000  0.000  0.544
Cr  0.500  0.500  0.710



[11]
Density functional theory data (PBE) for TaTl2Cl after structural relaxation.

- Relative energy among the computed polymorphs: 900 meV per atom
- SG: Fm-3m

Lattice parameters (Å, degrees): 5.189 5.189 5.189 60.00 60.00 60.00
Fractional coordinates of all 4 atoms:
Tl  0.250  0.250  0.250
Tl  0.750  0.750  0.750
Cl  0.000  0.000  0.000
Ta  0.500  0.500  0.500



[12]
Density functional theory data (PBE) for PmGa2Ni2 after structural relaxation.

- DFT formation energy: -565 meV/atom
- Relative energy among the computed polymorphs: 0 meV per atom
- SG: P4/nmm

Lattice parameters (Å, degrees): 4.210 4.210 9.599 90.00 90.00 90.00
Fractional coordinates of all 10 atoms:
Ni  0.000  0.500  0.371
Ni  0.500  0.000  0.629
Ni  0.500  0.500  0.000
Ni  0.000  0.000  0.000
Pm  0.500  0.000  0.246
Pm  0.000  0.500  0.754
Ga  0.500  0.000  0.876
Ga  0.000  0.500  0.124
Ga  0.500  0.500  0.500
Ga  0.000  0.000  0.500



[13]
Density functional theory data (PBE) for Li4HgPt after structural relaxation.

- DFT formation energy: -376 meV/atom
- Relative energy among the computed polymorphs: 0 meV per atom
- SG: Pmmm

Lattice parameters (Å, degrees): 2.744 4.386 7.710 90.00 90.00 90.00
Fractional coordinates of all 6 atoms:
Hg  0.999  0.497  0.998
Li  0.499  0.497  0.346
Li  0.498  0.997  0.810
Li  0.499  0.497  0.650
Li  0.499  0.997  0.187
Pt  0.999  0.997  0.498